Entry 1:
DFT (PBE) results for a relaxed Pr5Sm4 crystal.

a = 11.0313 Å, b = 11.0313 Å, c = 5.2005 Å
α = 90.00°, β = 90.00°, γ = 90.00°
With the nearest neighbours (Å) after each atom.
Space group I4/mmm (No. 139)
One atom of each set of equivalent atoms:
Pr1 0.0000 0.0000 0.0000  4 Pr 3.66, 8 Sm 3.68
Pr2 0.0000 0.3320 0.0000  6 Pr 3.66-3.71, 6 Sm 3.67-3.68
Sm1 0.1667 0.1667 0.5000  8 Pr 3.67-3.68, 4 Sm 3.68

## Properties
VASP energy (eV per atom): -4.74
D(E_F) (states/eV per cell): 28.7



Entry 2:
DFT (PBE) results for a relaxed Pr5Sm2 crystal.

a = 5.8617 Å, b = 5.8617 Å, c = 25.0543 Å
α = 90.00°, β = 90.00°, γ = 120.00°
With the nearest neighbours (Å) after each atom.
Space group R-3m (No. 166, hexagonal axes)
One atom of each set of equivalent atoms:
Pr1 0.0000 0.0000 0.0000  6 Pr 3.52, 2 Sm 3.89
Pr2 0.0000 0.0000 0.2946  7 Pr 3.44-3.70, 1 Sm 3.49
Pr3 0.0000 0.0000 0.4318  5 Pr 3.42-3.70, 3 Sm 3.67
Sm1 0.0000 0.0000 0.1555  3 Sm 3.43, 4 Pr 3.49-3.67

## Properties
VASP energy (eV per atom): -4.64
D(E_F) (states/eV per cell): 49.3



Entry 3:
DFT (PBE) results for a relaxed Pr3Sm8 crystal.

a = 3.6512 Å, b = 3.6512 Å, c = 98.3092 Å
α = 90.00°, β = 90.00°, γ = 120.00°
With the nearest neighbours (Å) after each atom.
Space group R-3m (No. 166, hexagonal axes)
One atom of each set of equivalent atoms:
Pr1 0.0000 0.0000 0.0000  6 Pr 3.65, 6 Sm 3.67
Pr2 0.0000 0.0000 0.2723  6 Pr 3.65, 6 Sm 3.67
Sm1 0.0000 0.0000 0.0916  9 Sm 3.62-3.65, 3 Pr 3.67
Sm2 0.0000 0.0000 0.1817  12 Sm 3.63-3.65
Sm3 0.0000 0.0000 0.3639  6 Sm 3.65, 6 Pr 3.67
Sm4 0.0000 0.0000 0.4549  12 Sm 3.62-3.65

## Properties
VASP energy (eV per atom): -4.72
D(E_F) (states/eV per cell): 43.1



Entry 4:
DFT (PBE) results for a relaxed Pr2Sm13 crystal.

a = 6.7586 Å, b = 9.1239 Å, c = 9.1256 Å
α = 66.30°, β = 82.20°, γ = 82.18°
With the nearest neighbours (Å) after each atom.
Space group P-1 (No. 2)
One atom of each set of equivalent atoms:
Pr1 0.1033 0.2662 0.4335  5 Sm 3.31-3.54
Sm1 0.0000 0.5000 0.0000  12 Sm 3.54-3.78, 2 Pr 3.77
Sm2 0.0984 0.9325 0.7676  3 Sm 3.33-3.54, 2 Pr 3.33-3.54
Sm3 0.2025 0.7030 0.1959  12 Sm 3.53-3.80, 2 Pr 3.80-3.81
Sm4 0.2975 0.4705 0.6301  2 Pr 3.31-3.52, 3 Sm 3.32-3.53
Sm5 0.3011 0.1358 0.9635  7 Sm 3.33-3.73
Sm6 0.4011 0.9013 0.3973  11 Sm 3.53-3.80, 3 Pr 3.75-3.80
Sm7 0.4995 0.6660 0.8330  1 Pr 3.31, 4 Sm 3.32-3.55

## Properties
VASP energy (eV per atom): -4.67
D(E_F) (states/eV per cell): 23.4



Entry 5:
DFT (PBE) results for a relaxed Pr4Sm crystal.

a = 3.7028 Å, b = 3.7028 Å, c = 26.1618 Å
α = 90.00°, β = 90.00°, γ = 90.00°
With the nearest neighbours (Å) after each atom.
Space group I4/mmm (No. 139)
One atom of each set of equivalent atoms:
Pr1 0.0000 0.0000 0.0987  4 Sm 3.68, 8 Pr 3.70-3.72
Pr2 0.0000 0.0000 0.3005  12 Pr 3.70-3.72
Sm1 0.0000 0.0000 0.5000  8 Pr 3.68, 4 Sm 3.70

## Properties
VASP energy (eV per atom): -4.75
D(E_F) (states/eV per cell): 16.2



Entry 6:
DFT (PBE) results for a relaxed PrSm3 crystal.

a = 5.1520 Å, b = 5.1520 Å, c = 10.3716 Å
α = 90.00°, β = 90.00°, γ = 90.00°
With the nearest neighbours (Å) after each atom.
Space group I4/mmm (No. 139)
One atom of each set of equivalent atoms:
Pr1 0.0000 0.0000 0.0000  12 Sm 3.64-3.65
Sm1 0.0000 0.0000 0.5000  4 Pr 3.64, 8 Sm 3.65
Sm2 0.0000 0.5000 0.2500  8 Sm 3.64-3.65, 4 Pr 3.65

## Properties
VASP energy (eV per atom): -4.72
D(E_F) (states/eV per cell): 11.8



Entry 7:
DFT (PBE) results for a relaxed Pr4Sm crystal.

a = 6.4171 Å, b = 3.6942 Å, c = 15.2379 Å
α = 90.00°, β = 98.14°, γ = 90.00°
With the nearest neighbours (Å) after each atom.
Space group C2/m (No. 12)
One atom of each set of equivalent atoms:
Pr1 0.1013 0.0000 0.3024  3 Sm 3.66-3.67, 9 Pr 3.69-3.72
Pr2 0.1997 0.5000 0.1005  12 Pr 3.69-3.72
Sm1 0.0000 0.5000 0.5000  6 Pr 3.66-3.67, 6 Sm 3.69-3.70

## Properties
VASP energy (eV per atom): -4.76
D(E_F) (states/eV per cell): 13.9



Entry 8:
DFT (PBE) results for a relaxed Pr5Sm2 crystal.

a = 11.6773 Å, b = 5.2283 Å, c = 8.2409 Å
α = 90.00°, β = 98.02°, γ = 90.00°
With the nearest neighbours (Å) after each atom.
Space group C2/m (No. 12)
One atom of each set of equivalent atoms:
Pr1 0.0000 0.0000 0.0000  6 Pr 3.68-3.69, 6 Sm 3.68-3.70
Pr2 0.0715 0.5000 0.7165  4 Sm 3.67-3.69, 8 Pr 3.68-3.72
Pr3 0.1434 0.0000 0.4290  9 Pr 3.69-3.71, 3 Sm 3.69-3.70
Sm1 0.2148 0.5000 0.1420  10 Pr 3.67-3.70, 2 Sm 3.68

## Properties
VASP energy (eV per atom): -4.75
D(E_F) (states/eV per cell): 22.9



Entry 9:
DFT (PBE) results for a relaxed Pr4Sm5 crystal.

a = 11.0030 Å, b = 11.0030 Å, c = 5.1852 Å
α = 90.00°, β = 90.00°, γ = 90.00°
With the nearest neighbours (Å) after each atom.
Space group I4/mmm (No. 139)
One atom of each set of equivalent atoms:
Pr1 0.1667 0.1667 0.0000  4 Pr 3.67, 8 Sm 3.67
Sm1 0.0000 0.0000 0.5000  8 Pr 3.67, 4 Sm 3.68
Sm2 0.0000 0.3344 0.5000  6 Sm 3.64-3.68, 6 Pr 3.67

## Properties
VASP energy (eV per atom): -4.73
D(E_F) (states/eV per cell): 28.4



Entry 10:
DFT (PBE) results for a relaxed Pr7Sm2 crystal.

a = 10.1253 Å, b = 10.1253 Å, c = 3.6222 Å
α = 90.00°, β = 90.00°, γ = 120.00°
With the nearest neighbours (Å) after each atom.
Space group P-62m (No. 189)
One atom of each set of equivalent atoms:
Pr1 0.0000 0.0000 0.0000  11 Pr 3.61-3.64
Pr2 0.0000 0.3562 0.0000  9 Pr 3.61-3.85, 4 Sm 3.73
Pr3 0.0000 0.6885 0.5000  2 Sm 3.49, 10 Pr 3.62-3.85
Sm1 0.3333 0.6667 0.5000  9 Pr 3.49-3.73, 2 Sm 3.62

## Properties
VASP energy (eV per atom): -4.73
D(E_F) (states/eV per cell): 13.8



Entry 11:
DFT (PBE) results for a relaxed Pr7Sm crystal.

a = 10.4786 Å, b = 10.4786 Å, c = 10.4786 Å
α = 90.00°, β = 90.00°, γ = 90.00°
With the nearest neighbours (Å) after each atom.
Space group Fm-3m (No. 225)
One atom of each set of equivalent atoms:
Pr1 0.0000 0.0000 0.0000  12 Pr 3.70
Pr2 0.0000 0.2500 0.2500  10 Pr 3.70, 2 Sm 3.70
Sm1 0.0000 0.0000 0.5000  12 Pr 3.70

## Properties
VASP energy (eV per atom): -4.77
D(E_F) (states/eV per cell): 39.8



Entry 12:
DFT (PBE) results for a relaxed PrSm4 crystal.

a = 7.4556 Å, b = 10.3135 Å, c = 9.5753 Å
α = 90.00°, β = 110.33°, γ = 90.00°
With the nearest neighbours (Å) after each atom.
Space group C2/m (No. 12)
One atom of each set of equivalent atoms:
Pr1 0.0000 0.1717 0.0000  8 Sm 3.47-3.77, 1 Pr 3.54
Sm1 0.0578 0.5000 0.8470  6 Sm 3.33-3.68, 2 Pr 3.58
Sm2 0.1590 0.1972 0.6854  6 Sm 3.44-3.68, 2 Pr 3.47-3.61
Sm3 0.2423 0.0000 0.4240  8 Sm 3.41-3.61

## Properties
VASP energy (eV per atom): -4.60
D(E_F) (states/eV per cell): 28.5



Number 1: total magnetic moment 0.00 Bohr magnetons per cell, DFT formation energy 0.01 eV per atom. Number 2: total magnetic moment 0.00 Bohr magnetons per cell, DFT formation energy 0.12 eV per atom. Number 3: total magnetic moment 0.00 Bohr magnetons per cell, DFT formation energy 0.01 eV per atom. Number 4: total magnetic moment 0.00 Bohr magnetons per cell, DFT formation energy 0.06 eV per atom. Number 5: total magnetic moment 0.00 Bohr magnetons per cell, DFT formation energy 0.02 eV per atom. Number 6: total magnetic moment 0.00 Bohr magnetons per cell, DFT formation energy 0.01 eV per atom. Number 7: total magnetic moment 0.00 Bohr magnetons per cell, DFT formation energy 0.01 eV per atom. Number 8: total magnetic moment 0.00 Bohr magnetons per cell, DFT formation energy 0.01 eV per atom. Number 9: total magnetic moment 0.00 Bohr magnetons per cell, DFT formation energy 0.01 eV per atom. Number 10: total magnetic moment 0.00 Bohr magnetons per cell, DFT formation energy 0.04 eV per atom. Number 11: total magnetic moment 0.00 Bohr magnetons per cell, DFT formation energy 0.01 eV per atom. Number 12: total magnetic moment 0.00 Bohr magnetons per cell, DFT formation energy 0.13 eV per atom.